PBE-GGA Cs3In4Au4, relaxed; electronic total energy = -29.6 eV per cell; SG = I-43m, No. 217; spin magnetization = 0.000 μB per atom
1.0
-6.3376 -2.4270 3.8803
-0.3033 -2.5948 -7.3680
6.4168 -2.7924 3.4841
Cs In Au
3 4 4
Direct
0.5000 0.0000 0.5000 Cs
0.5000 0.5000 0.0000 Cs
0.0000 0.5000 0.5000 Cs
0.0000 0.0000 0.2761 In
0.0000 0.2761 0.0000 In
0.7239 0.7239 0.7239 In
0.2761 0.0000 0.0000 In
0.6390 0.0000 0.0000 Au
0.0000 0.6390 0.0000 Au
0.3610 0.3610 0.3610 Au
0.0000 0.0000 0.6390 Au